# 1
Material: Cu2Pt2Au
Method: DFT, PBE
State: relaxed

a b c (Å): 3.6844 3.6844 12.0455
angles (deg): 90.00 90.00 90.00
Space group I4/mmm (No. 139)
One atom of each set of equivalent atoms:
Cu1 0.0000 0.0000 0.0974 (multiplicity 4)
Pt1 0.0000 0.5000 0.2500 (multiplicity 4)
Au1 0.0000 0.0000 0.5000 (multiplicity 2)

Properties
* polymorph energy (0 for the lowest one): 1.268 eV/f.u.
* size of the total moment: 0.0000 μB/atom
* formation energy from the elements: 0.214 eV/atom
* DOS(E_F): 6.3 states/eV per cell
* calculated volume: 163.5 Å³ per cell
* raw total energy: -4.4963 eV/atom

=====

# 2
Material: Cu2PtAu
Method: DFT, PBE
State: relaxed

a b c (Å): 2.8141 3.7685 5.5053
angles (deg): 90.00 90.00 90.00
Space group Pmm2 (No. 25)
One atom of each set of equivalent atoms:
Cu1 0.0000 0.0000 0.0000 (multiplicity 1)
Cu2 0.5000 0.5000 0.2425 (multiplicity 1)
Pt1 0.0000 0.0000 0.4679 (multiplicity 1)
Au1 0.5000 0.5000 0.7603 (multiplicity 1)

Properties
* size of the total moment: 0.0000 μB/atom
* formation energy from the elements: -0.054 eV/atom
* DOS(E_F): 1.7 states/eV per cell
* calculated volume: 58.4 Å³ per cell
* raw total energy: -4.4321 eV/atom

=====

# 3
Material: Cu5PtAu6
Method: DFT, PBE
State: relaxed

a b c (Å): 8.9938 8.6186 4.9371
angles (deg): 90.00 101.37 90.00
Space group C2/m (No. 12)
One atom of each set of equivalent atoms:
Cu1 0.0000 0.0000 0.0000 (multiplicity 2)
Cu2 0.0000 0.1810 0.5000 (multiplicity 4)
Cu3 0.0000 0.3436 0.0000 (multiplicity 4)
Pt1 0.0000 0.5000 0.5000 (multiplicity 2)
Au1 0.2367 0.0000 0.7431 (multiplicity 4)
Au2 0.2403 0.1684 0.2437 (multiplicity 8)

Properties
* polymorph energy (0 for the lowest one): 0.593 eV/f.u.
* size of the total moment: 0.0000 μB/atom
* formation energy from the elements: 0.006 eV/atom
* DOS(E_F): 8.3 states/eV per cell
* calculated volume: 375.2 Å³ per cell
* raw total energy: -3.8425 eV/atom

=====

# 4
Material: Cu7Pt2Au
Method: DFT, PBE
State: relaxed

a b c (Å): 6.6331 12.6268 4.1093
angles (deg): 90.00 90.00 90.00
Space group Cmmm (No. 65)
One atom of each set of equivalent atoms:
Cu1 0.0000 0.0000 0.0000 (multiplicity 2)
Cu2 0.0000 0.3015 0.5000 (multiplicity 4)
Cu3 0.1808 0.3969 0.0000 (multiplicity 8)
Pt1 0.0000 0.2013 0.0000 (multiplicity 4)
Au1 0.0000 0.5000 0.5000 (multiplicity 2)

Properties
* size of the total moment: 0.0000 μB/atom
* formation energy from the elements: 0.320 eV/atom
* DOS(E_F): 8.6 states/eV per cell
* calculated volume: 344.2 Å³ per cell
* raw total energy: -4.0836 eV/atom

=====

# 5
Material: Cu2PtAu7
Method: DFT, PBE
State: relaxed

a b c (Å): 7.4800 12.8751 4.3789
angles (deg): 90.00 90.00 90.00
Space group Cmmm (No. 65)
One atom of each set of equivalent atoms:
Cu1 0.0000 0.1994 0.0000 (multiplicity 4)
Pt1 0.0000 0.5000 0.5000 (multiplicity 2)
Au1 0.0000 0.0000 0.0000 (multiplicity 2)
Au2 0.0000 0.2910 0.5000 (multiplicity 4)
Au3 0.1871 0.3881 0.0000 (multiplicity 8)

Properties
* size of the total moment: 0.0000 μB/atom
* formation energy from the elements: 0.318 eV/atom
* DOS(E_F): 8.9 states/eV per cell
* calculated volume: 421.7 Å³ per cell
* raw total energy: -3.3997 eV/atom

=====

# 6
Material: Cu12Pt6Au
Method: DFT, PBE
State: relaxed

a b c (Å): 11.2036 11.2036 7.9451
angles (deg): 90.00 90.00 120.00
Space group R-3m (No. 166, hexagonal axes)
One atom of each set of equivalent atoms:
Cu1 0.0000 0.3894 0.0000 (multiplicity 18)
Cu2 0.0810 0.1620 0.7571 (multiplicity 18)
Pt1 0.0747 0.5373 0.7321 (multiplicity 18)
Au1 0.0000 0.0000 0.5000 (multiplicity 3)

Properties
* size of the total moment: 0.0000 μB/atom
* formation energy from the elements: 0.113 eV/atom
* DOS(E_F): 27.6 states/eV per cell
* calculated volume: 863.7 Å³ per cell
* raw total energy: -4.5537 eV/atom

=====

# 7
Material: Cu6PtAu5
Method: DFT, PBE
State: relaxed

a b c (Å): 12.7154 7.3000 4.0480
angles (deg): 90.00 108.45 90.00
Space group C2/m (No. 12)
One atom of each set of equivalent atoms:
Cu1 0.0000 0.2455 0.0000 (multiplicity 4)
Cu2 0.1642 0.2476 0.6645 (multiplicity 8)
Pt1 0.0000 0.0000 0.5000 (multiplicity 2)
Au1 0.0000 0.5000 0.5000 (multiplicity 2)
Au2 0.1663 0.0000 0.1666 (multiplicity 4)
Au3 0.1666 0.5000 0.1666 (multiplicity 4)

Properties
* size of the total moment: 0.0000 μB/atom
* formation energy from the elements: -0.075 eV/atom
* DOS(E_F): 5.5 states/eV per cell
* calculated volume: 356.4 Å³ per cell
* raw total energy: -3.9925 eV/atom

=====

# 8
Material: CuPt2Au2
Method: DFT, PBE
State: relaxed

a b c (Å): 6.6218 6.6218 3.9657
angles (deg): 90.00 90.00 90.00
Space group P4/mbm (No. 127)
One atom of each set of equivalent atoms:
Cu1 0.0000 0.0000 0.0000 (multiplicity 2)
Pt1 0.1430 0.3570 0.0000 (multiplicity 4)
Au1 0.1619 0.6619 0.5000 (multiplicity 4)

Properties
* polymorph energy (0 for the lowest one): 0.286 eV/f.u.
* size of the total moment: 0.0000 μB/atom
* formation energy from the elements: 0.180 eV/atom
* DOS(E_F): 13.5 states/eV per cell
* calculated volume: 173.9 Å³ per cell
* raw total energy: -4.3663 eV/atom

=====

# 9
Material: Cu7PtAu3
Method: DFT, PBE
State: relaxed

a b c (Å): 2.7522 20.0325 12.0808
angles (deg): 90.00 90.00 90.00
Space group Cmcm (No. 63)
One atom of each set of equivalent atoms:
Cu1 0.0000 0.0323 0.0837 (multiplicity 8)
Cu2 0.0000 0.0923 0.6066 (multiplicity 8)
Cu3 0.0000 0.1062 0.2500 (multiplicity 4)
Cu4 0.0000 0.2221 0.5787 (multiplicity 8)
Pt1 0.0000 0.4831 0.2500 (multiplicity 4)
Au1 0.0000 0.3256 0.2500 (multiplicity 4)
Au2 0.0000 0.3525 0.5703 (multiplicity 8)

Properties
* polymorph energy (0 for the lowest one): 0.000 eV/f.u.
* size of the total moment: 0.0000 μB/atom
* formation energy from the elements: 0.049 eV/atom
* DOS(E_F): 22.3 states/eV per cell
* calculated volume: 666.1 Å³ per cell
* raw total energy: -4.0005 eV/atom

=====

# 10
Material: Cu2PtAu
Method: DFT, PBE
State: relaxed

a b c (Å): 2.7780 2.7780 26.3393
angles (deg): 90.00 90.00 120.00
Space group R3m (No. 160, hexagonal axes)
One atom of each set of equivalent atoms:
Cu1 0.0000 0.0000 0.0000 (multiplicity 3)
Cu2 0.0000 0.0000 0.2592 (multiplicity 3)
Pt1 0.0000 0.0000 0.5123 (multiplicity 3)
Au1 0.0000 0.0000 0.7513 (multiplicity 3)

Properties
* size of the total moment: 0.0000 μB/atom
* formation energy from the elements: -0.020 eV/atom
* DOS(E_F): 5.3 states/eV per cell
* calculated volume: 176.0 Å³ per cell
* raw total energy: -4.3975 eV/atom

=====

# 11
Material: Cu2PtAu8
Method: DFT, PBE
State: relaxed

a b c (Å): 4.2614 7.1085 12.5592
angles (deg): 90.00 90.00 90.00
Space group Immm (No. 71)
One atom of each set of equivalent atoms:
Cu1 0.0000 0.0000 0.1918 (multiplicity 4)
Pt1 0.0000 0.0000 0.5000 (multiplicity 2)
Au1 0.0000 0.1973 0.0000 (multiplicity 4)
Au2 0.0000 0.2835 0.3440 (multiplicity 8)
Au3 0.0000 0.5000 0.1546 (multiplicity 4)

Properties
* polymorph energy (0 for the lowest one): 0.290 eV/f.u.
* size of the total moment: 0.0000 μB/atom
* formation energy from the elements: 0.024 eV/atom
* DOS(E_F): 6.8 states/eV per cell
* calculated volume: 380.5 Å³ per cell
* raw total energy: -3.6532 eV/atom

=====

# 12
Material: CuPt3Au
Method: DFT, PBE
State: relaxed

a b c (Å): 4.5623 4.5623 4.5623
angles (deg): 90.00 90.00 90.00
Space group Pm-3m (No. 221)
One atom of each set of equivalent atoms:
Cu1 0.0000 0.0000 0.0000 (multiplicity 1)
Pt1 0.0000 0.0000 0.5000 (multiplicity 3)
Au1 0.5000 0.5000 0.5000 (multiplicity 1)

Properties
* polymorph energy (0 for the lowest one): 4.757 eV/f.u.
* size of the total moment: 0.0000 μB/atom
* formation energy from the elements: 0.969 eV/atom
* DOS(E_F): 3.8 states/eV per cell
* calculated volume: 95.0 Å³ per cell
* raw total energy: -4.1301 eV/atom